La2FeMo | SCAN | PBEsol geometry

E_form: 2.94 eV per formula unit
Calculated density: 8.76 Mg/m³
Crystal system: orthorhombic

a = 3.157 Å, b = 3.157 Å, c = 8.890 Å
α = 90.00°, β = 90.00°, γ = 113.22°
Last column: magnetic moment on the atom in μB.
Atoms (fractional coordinates):
La 0.000 0.000 0.241  -0.18
La 0.000 0.000 0.759  -0.18
Fe 0.500 0.500 0.000  2.53
Mo 0.500 0.500 0.500  0.65



SrYCu | SCAN | PBEsol geometry

E_form: 0.50 eV per formula unit
Calculated density: 4.43 Mg/m³
Crystal system: trigonal

a = 4.779 Å, b = 4.665 Å, c = 4.665 Å
α = 120.00°, β = 90.00°, γ = 90.00°
Atoms (fractional coordinates):
Y 0.197 0.667 0.333
Sr 0.694 0.333 0.667
Cu 0.108 0.000 0.000



CoOsAu2 | SCAN | PBEsol geometry

E_form: 2.04 eV per formula unit
Calculated density: 18.19 Mg/m³
Crystal system: orthorhombic

a = 2.669 Å, b = 3.960 Å, c = 5.554 Å
α = 90.00°, β = 90.03°, γ = 90.00°
Last column: magnetic moment on the atom in μB.
Atoms (fractional coordinates):
Au 0.000 0.000 0.755  0.02
Os 0.500 0.500 0.500  0.32
Co 0.500 0.500 0.000  2.04
Au 0.000 0.000 0.245  0.02



K4Ti4I12O | SCAN | PBEsol geometry

Energy relative to the elements, uncorrected: -30.611 kcal/mol of atoms
Calculated density: 4.26 Mg/m³
Crystal system: tetragonal

a = 7.949 Å, b = 10.403 Å, c = 10.403 Å
α = 81.61°, β = 67.54°, γ = 67.54°
Last column: magnetic moment on the atom in μB.
Atoms (fractional coordinates):
Ti 0.143 0.886 0.828  0.85
I 0.638 0.941 0.292  0.00
I 0.362 0.059 0.708  0.00
I 0.649 0.285 0.416  0.00
I 0.421 0.708 0.941  0.00
I 0.930 0.708 0.941  0.00
I 0.579 0.292 0.059  0.00
I 0.351 0.715 0.584  0.00
I 0.871 0.059 0.708  0.00
I 0.935 0.416 0.715  0.00
Ti 0.029 0.828 0.114  0.85
K 0.819 0.766 0.596  0.00
K 0.585 0.596 0.234  0.00
K 0.415 0.404 0.766  0.00
Ti 0.857 0.114 0.172  0.85
K 0.181 0.234 0.404  0.00
O 0.000 0.000 0.000  -0.04
Ti 0.971 0.172 0.886  0.85
I 0.065 0.584 0.285  0.00
I 0.129 0.941 0.292  0.00
I 0.070 0.292 0.059  0.00



YAlO2F | SCAN | PBEsol geometry

Energy relative to the elements, uncorrected: -49.095 kcal/mol of atoms
Calculated density: 3.49 Mg/m³
Crystal system: tetragonal

a = 4.172 Å, b = 4.365 Å, c = 4.365 Å
α = 90.00°, β = 90.00°, γ = 90.00°
Atoms (fractional coordinates):
Y 0.000 0.000 0.000
O 0.000 0.500 0.000
F 0.500 0.000 0.000
Al 0.500 0.500 0.500
O 0.000 0.000 0.500



BeCoHgI2 | SCAN | PBEsol geometry

Energy relative to the elements, uncorrected: 12.579 kcal/mol of atoms
Calculated density: 7.80 Mg/m³
Crystal system: tetragonal

a = 4.145 Å, b = 5.180 Å, c = 5.180 Å
α = 90.00°, β = 90.00°, γ = 90.00°
Atoms (fractional coordinates):
I 0.000 0.000 0.500
Hg 0.500 0.500 0.500
I 0.000 0.500 0.000
Be 0.500 0.000 0.000
Co 0.000 0.000 0.000



TeMo3 | SCAN | PBEsol geometry

Energy relative to the elements, uncorrected: 13.104 kcal/mol of atoms
Calculated density: 9.94 Mg/m³
Crystal system: orthorhombic

a = 2.876 Å, b = 2.876 Å, c = 9.035 Å
α = 90.00°, β = 90.00°, γ = 111.81°
Atoms (fractional coordinates):
Mo 0.000 0.000 0.226
Mo 0.500 0.500 0.000
Te 0.500 0.500 0.500
Mo 0.000 0.000 0.774



HoOs2 | SCAN | PBEsol geometry

E_form: -1.44 eV per formula unit
Calculated density: 17.39 Mg/m³
Crystal system: hexagonal

a = 5.237 Å, b = 5.237 Å, c = 8.772 Å
α = 90.00°, β = 90.00°, γ = 120.00°
Atoms (fractional coordinates):
Os 0.829 0.658 0.250
Os 0.171 0.342 0.750
Ho 0.667 0.333 0.935
Os 0.171 0.829 0.750
Os 0.000 0.000 0.500
Ho 0.333 0.667 0.065
Os 0.829 0.171 0.250
Os 0.342 0.171 0.250
Ho 0.333 0.667 0.435
Os 0.658 0.829 0.750
Ho 0.667 0.333 0.565
Os 0.000 0.000 0.000



| no. | calculated volume (Å³ per atom) | DOS(E_F) (states/eV per atom) |
| --- | --- | --- |
| 1 | 20.4 | 0.97 |
| 2 | 30.0 | 0.66 |
| 3 | 14.7 | 0.68 |
| 4 | 35.0 | 0.34 |
| 5 | 15.9 | 0.39 |
| 6 | 22.2 | 0.50 |
| 7 | 17.3 | 0.85 |
| 8 | 17.4 | 0.99 |